Here is a relaxed CdTcW2F crystal from Alexandria via LeMat-Bulk. Energies are from GGA+U.

a b c (Å): 5.449 4.062 5.449
angles (deg): 90.00 90.00 90.00
Site moments in Bohr magnetons follow the coordinates.
Fractional positions:
F: 0.000 0.500 0.000  0.09
Tc: 0.500 0.500 0.500  -3.05
W: 0.000 0.000 0.500  3.27
W: 0.500 0.000 0.000  3.23
Cd: 0.000 0.000 0.000  0.10

Output
As for the crystal system: tetragonal. The value obtained for the electronic total energy is -3.81 eV per atom.